(w)
First-principles (GGA-PBEsol) data for a geometry-optimized Ba2FeCu structure, as listed in Alexandria via LeMat-Bulk.

Lattice parameters (Å, degrees): 3.7888 3.7888 7.8492 90.00 90.00 90.00
Space group P4/mmm (No. 123)
Inequivalent atoms, fractional coordinates:
Ba 0.0000 0.0000 0.2488
Fe 0.5000 0.5000 0.5000
Cu 0.5000 0.5000 0.0000

---

(x)
First-principles (GGA-PBEsol) data for a geometry-optimized Ba2FeCu structure, as listed in Alexandria via LeMat-Bulk.

Lattice parameters (Å, degrees): 7.3773 7.3773 7.3773 90.00 90.00 90.00
Space group F-43m (No. 216)
Inequivalent atoms, fractional coordinates:
Ba 0.0000 0.0000 0.0000
Ba 0.2500 0.2500 0.2500
Fe 0.0000 0.0000 0.5000
Cu 0.2500 0.2500 0.7500

---

From most stable to least stable, the computed energies give (w), (x).

---

(w)
First-principles (GGA-PBEsol) data for a geometry-optimized BaCu2Ir structure, as listed in Alexandria via LeMat-Bulk.

Lattice parameters (Å, degrees): 4.2703 4.2703 16.0358 90.00 90.00 120.00
Space group R-3m (No. 166, hexagonal axes)
Inequivalent atoms, fractional coordinates:
Ba 0.0000 0.0000 0.0000
Cu 0.0000 0.0000 0.1868
Ir 0.0000 0.0000 0.5000

---

(x)
First-principles (GGA-PBEsol) data for a geometry-optimized BaCu2Ir structure, as listed in Alexandria via LeMat-Bulk.

Lattice parameters (Å, degrees): 4.3511 4.3511 3.7879 90.00 90.00 90.00
Space group P4/mmm (No. 123)
Inequivalent atoms, fractional coordinates:
Ba 0.0000 0.0000 0.0000
Cu 0.0000 0.5000 0.5000
Ir 0.5000 0.5000 0.0000

---

From most stable to least stable, the computed energies give (w), (x).

---

(w)
First-principles (GGA-PBEsol) data for a geometry-optimized Ba2CuIr structure, as listed in Alexandria via LeMat-Bulk.

Lattice parameters (Å, degrees): 4.5340 4.6032 11.0055 90.00 90.00 90.00
Space group Amm2 (No. 38)
Inequivalent atoms, fractional coordinates:
Ba 0.0000 0.0000 0.0000
Ba 0.5000 0.0000 0.2885
Cu 0.0000 0.0000 0.6886
Ir 0.5000 0.0000 0.6004

---

(x)
First-principles (GGA-PBEsol) data for a geometry-optimized Ba2CuIr structure, as listed in Alexandria via LeMat-Bulk.

Lattice parameters (Å, degrees): 7.5107 7.5107 7.5107 90.00 90.00 90.00
Space group Fm-3m (No. 225)
Inequivalent atoms, fractional coordinates:
Ba 0.2500 0.2500 0.2500
Cu 0.0000 0.0000 0.0000
Ir 0.0000 0.0000 0.5000

---

(y)
First-principles (GGA-PBEsol) data for a geometry-optimized Ba2CuIr structure, as listed in Alexandria via LeMat-Bulk.

Lattice parameters (Å, degrees): 4.4746 4.4746 6.1660 90.00 90.00 90.00
Space group P4/mmm (No. 123)
Inequivalent atoms, fractional coordinates:
Ba 0.0000 0.0000 0.0000
Ba 0.5000 0.5000 0.5000
Cu 0.0000 0.0000 0.5000
Ir 0.5000 0.5000 0.0000

---

From most stable to least stable, the computed energies give (w), (x), (y).

---

(w)
First-principles (GGA-PBEsol) data for a geometry-optimized KBa3Cu structure, as listed in Alexandria via LeMat-Bulk.

Lattice parameters (Å, degrees): 6.5941 6.5941 6.5941 90.00 90.00 90.00
Space group Pm-3m (No. 221)
Inequivalent atoms, fractional coordinates:
K 0.0000 0.0000 0.0000
Ba 0.0000 0.0000 0.5000
Cu 0.5000 0.5000 0.5000

---

(x)
First-principles (GGA-PBEsol) data for a geometry-optimized KBa3Cu structure, as listed in Alexandria via LeMat-Bulk.

Lattice parameters (Å, degrees): 6.3905 6.3905 6.3905 90.00 90.00 90.00
Space group Pm-3m (No. 221)
Inequivalent atoms, fractional coordinates:
K 0.0000 0.0000 0.0000
Ba 0.0000 0.5000 0.5000
Cu 0.5000 0.5000 0.5000

---

From most stable to least stable, the computed energies give (x), (w).

---

(w)
First-principles (GGA-PBEsol) data for a geometry-optimized KBa2Cu structure, as listed in Alexandria via LeMat-Bulk.

Lattice parameters (Å, degrees): 8.4393 8.4393 8.4393 90.00 90.00 90.00
Space group F-43m (No. 216)
Inequivalent atoms, fractional coordinates:
K 0.0000 0.0000 0.0000
Ba 0.0000 0.0000 0.5000
Ba 0.2500 0.2500 0.7500
Cu 0.2500 0.2500 0.2500

---

(x)
First-principles (GGA-PBEsol) data for a geometry-optimized KBa2Cu structure, as listed in Alexandria via LeMat-Bulk.

Lattice parameters (Å, degrees): 3.9610 3.9611 11.1121 90.00 90.16 90.00
Space group P2/m (No. 10)
Inequivalent atoms, fractional coordinates:
K 0.0000 0.0000 0.0000
Ba 0.4980 0.5000 0.3362
Cu 0.0000 0.0000 0.5000

---

From most stable to least stable, the computed energies give (x), (w).

---

(w)
First-principles (GGA-PBEsol) data for a geometry-optimized KBaCu2 structure, as listed in Alexandria via LeMat-Bulk.

Lattice parameters (Å, degrees): 5.3932 5.3932 3.8542 90.00 90.00 90.00
Space group P4/mmm (No. 123)
Inequivalent atoms, fractional coordinates:
K 0.0000 0.0000 0.0000
Ba 0.5000 0.5000 0.0000
Cu 0.0000 0.5000 0.5000

---

(x)
First-principles (GGA-PBEsol) data for a geometry-optimized KBaCu2 structure, as listed in Alexandria via LeMat-Bulk.

Lattice parameters (Å, degrees): 3.4887 3.4887 9.3371 90.00 90.00 90.00
Space group P4mm (No. 99)
Inequivalent atoms, fractional coordinates:
K 0.0000 0.0000 0.0000
Ba 0.5000 0.5000 0.4322
Cu 0.0000 0.0000 0.6747
Cu 0.5000 0.5000 0.7376

---

From most stable to least stable, the computed energies give (x), (w).

---

(w)
First-principles (GGA-PBEsol) data for a geometry-optimized BaLaCu2 structure, as listed in Alexandria via LeMat-Bulk.

Lattice parameters (Å, degrees): 7.4028 7.4028 7.4028 90.00 90.00 90.00
Space group Fm-3m (No. 225)
Inequivalent atoms, fractional coordinates:
Ba 0.0000 0.0000 0.0000
La 0.0000 0.0000 0.5000
Cu 0.2500 0.2500 0.2500

---

(x)
First-principles (GGA-PBEsol) data for a geometry-optimized BaLaCu2 structure, as listed in Alexandria via LeMat-Bulk.

Lattice parameters (Å, degrees): 4.3101 4.3101 22.0174 90.00 90.00 120.00
Space group R-3m (No. 166, hexagonal axes)
Inequivalent atoms, fractional coordinates:
Ba 0.0000 0.0000 0.0000
La 0.0000 0.0000 0.5000
Cu 0.0000 0.0000 0.2382

---

From most stable to least stable, the computed energies give (w), (x).